(1)
Entry from Alexandria: Cs3Na5Tl6 after structural relaxation (PBE-GGA).

Cell lengths 10.888, 10.888, 10.888 Å; angles 151.06, 103.54, 83.73 degrees
Atoms (fractional coordinates):
Cs 0.000 0.000 0.000
Cs 0.318 0.318 0.000
Cs 0.682 0.682 0.000
Na 0.007 0.691 0.316
Na 0.375 0.691 0.684
Na 0.500 0.000 0.500
Na 0.625 0.309 0.316
Na 0.993 0.309 0.684
Tl 0.186 0.896 0.290
Tl 0.255 0.500 0.755
Tl 0.393 0.104 0.290
Tl 0.607 0.896 0.710
Tl 0.745 0.500 0.245
Tl 0.814 0.104 0.710

Calculated values
space-group type	Immm (71)

---

(2)
Entry from Alexandria: Li2MnAlH6 after structural relaxation (PBE-GGA).

Cell lengths 4.606, 4.656, 7.965 Å; angles 90.00, 125.32, 90.00 degrees
Atoms (fractional coordinates):
Li 0.246 0.030 0.249
Li 0.246 0.470 0.749
Li 0.754 0.530 0.251
Li 0.754 0.970 0.751
Mn 0.000 0.000 0.500
Mn 0.000 0.500 0.000
Al 0.500 0.000 0.000
Al 0.500 0.500 0.500
H 0.136 0.204 0.949
H 0.136 0.296 0.449
H 0.247 0.689 0.950
H 0.247 0.811 0.450
H 0.344 0.041 0.742
H 0.344 0.459 0.242
H 0.656 0.541 0.758
H 0.656 0.959 0.258
H 0.753 0.189 0.550
H 0.753 0.311 0.050
H 0.864 0.704 0.551
H 0.864 0.796 0.051

Calculated values
space-group type	P2_1/c (14)

---

(3)
Entry from Alexandria: SrTlSe2O8 after structural relaxation (PBE-GGA).

Cell lengths 8.101, 8.101, 8.101 Å; angles 38.48, 38.48, 38.48 degrees
Atoms (fractional coordinates):
Sr 0.000 0.000 0.000
Tl 0.500 0.500 0.500
Se 0.257 0.257 0.257
Se 0.743 0.743 0.743
O 0.036 0.820 0.442
O 0.180 0.558 0.964
O 0.331 0.331 0.331
O 0.442 0.036 0.820
O 0.558 0.964 0.180
O 0.669 0.669 0.669
O 0.820 0.442 0.036
O 0.964 0.180 0.558

Calculated values
energy relative to the elements, uncorrected	-12.99	eV per formula unit
space-group type	R-3 (148)

---

(4)
Entry from Alexandria: BeTlSe after structural relaxation (PBE-GGA).

Cell lengths 6.690, 6.690, 6.690 Å; angles 151.20, 151.20, 41.19 degrees
Atoms (fractional coordinates):
Be 0.000 0.000 0.000
Tl 0.736 0.736 0.000
Se 0.488 0.488 0.000

Calculated values
energy relative to the elements, uncorrected	-0.01	eV per formula unit
polymorph energy (0 for the lowest one)	335	meV per atom
space-group type	I4mm (107)

---

(5)
Entry from Alexandria: Na2CdSiF8 after structural relaxation (PBE-GGA).

Cell lengths 4.932, 6.793, 4.947 Å; angles 90.00, 91.47, 90.00 degrees
Atoms (fractional coordinates):
Na 0.000 0.238 0.000
Na 0.000 0.762 0.000
Cd 0.500 0.500 0.500
Si 0.500 0.000 0.500
F 0.199 0.500 0.200
F 0.252 0.000 0.253
F 0.329 0.182 0.671
F 0.329 0.818 0.671
F 0.671 0.182 0.329
F 0.671 0.818 0.329
F 0.748 0.000 0.747
F 0.801 0.500 0.800

Calculated values
energy relative to the elements, uncorrected	-33.75	eV per formula unit
space-group type	P2/m (10)

---

(6)
Entry from Alexandria: K3SiBr after structural relaxation (PBE-GGA).

Cell lengths 6.155, 6.155, 6.155 Å; angles 90.00, 90.00, 90.00 degrees
Atoms (fractional coordinates):
K 0.000 0.000 0.500
K 0.000 0.500 0.000
K 0.500 0.000 0.000
Si 0.500 0.500 0.500
Br 0.000 0.000 0.000

Calculated values
energy relative to the elements, uncorrected	-1.24	eV per formula unit
polymorph energy (0 for the lowest one)	0	meV per atom
space-group type	Pm-3m (221)

---

no.,final energy (eV/atom)
1,-1.737
2,-3.782
3,-5.306
4,-3.194
5,-4.808
6,-2.326